{"formula": "Na2ZrNiP4O14", "functional": "GGA+U", "state": "relaxed", "crystal_system": "triclinic", "e_tot_ev_per_atom": -7.066, "lattice_angstrom": [[6.5907, 0.0017, -0.0001], [0.9388, 6.5369, 0.0088], [0.5534, 2.8140, 6.4102]], "species": ["Na", "Na", "Zr", "Ni", "P", "P", "P", "P", "O", "O", "O", "O", "O", "O", "O", "O", "O", "O", "O", "O", "O", "O"], "fractional_positions": [[0.2452, 0.1862, 0.3889], [0.5431, 0.5740, 0.0924], [0.0131, 0.9712, 0.0052], [0.6972, 0.7936, 0.4545], [0.2235, 0.6787, 0.4560], [0.9709, 0.5389, 0.8594], [0.4962, 0.1188, 0.9743], [0.7335, 0.2460, 0.5607], [0.0449, 0.6708, 0.9726], [0.7481, 0.4899, 0.4178], [0.3797, 0.8165, 0.4793], [0.2976, 0.5217, 0.3549], [0.7631, 0.6441, 0.7634], [0.1398, 0.5300, 0.6873], [0.0264, 0.8414, 0.3435], [0.5583, 0.2517, 0.7357], [0.6877, 0.9503, 0.0830], [0.3296, 0.9749, 0.9683], [0.9708, 0.2923, 0.0119], [0.9326, 0.1317, 0.6903], [0.4210, 0.2809, 0.0684], [0.6703, 0.1101, 0.4517]]}